Record 1
# BaOsIO2 PBE optimized geometry
# Formation energy without anion corrections   0.746 eV/atom
# Polymorph energy (0 for the lowest one)   1232 meV per atom
data_BaOsIO2
_cell_length_a 4.424
_cell_length_b 4.424
_cell_length_c 7.379
_cell_angle_alpha 90.00
_cell_angle_beta 90.00
_cell_angle_gamma 90.00
_space_group_name_H-M_alt 'P 4/m m m'
_space_group_IT_number 123
_space_group_name_Hall '-P 4 2'
loop_
_atom_site_label
_atom_site_type_symbol
_atom_site_fract_x
_atom_site_fract_y
_atom_site_fract_z
Ba1 Ba 0.000 0.000 0.000
Os1 Os 0.500 0.500 0.500
I1 I 0.000 0.000 0.500
O1 O 0.000 0.500 0.000

---

Record 2
# Sr2SnBiTe5 PBE optimized geometry
# Formation energy without anion corrections   -0.837 eV/atom
data_Sr2SnBiTe5
_cell_length_a 4.601
_cell_length_b 20.039
_cell_length_c 14.004
_cell_angle_alpha 90.00
_cell_angle_beta 90.00
_cell_angle_gamma 90.00
_space_group_name_H-M_alt 'C m c 21'
_space_group_IT_number 36
_space_group_name_Hall 'C 2c -2'
loop_
_atom_site_label
_atom_site_type_symbol
_atom_site_fract_x
_atom_site_fract_y
_atom_site_fract_z
Sr1 Sr 0.000 0.109 0.000
Sr2 Sr 0.000 0.129 0.637
Sn1 Sn 0.000 0.442 0.770
Bi1 Bi 0.000 0.216 0.348
Te1 Te 0.000 0.053 0.401
Te2 Te 0.000 0.276 0.001
Te3 Te 0.000 0.309 0.685
Te4 Te 0.000 0.366 0.321
Te5 Te 0.000 0.494 0.085

---

Record 3
# In9SnHg2 PBE optimized geometry
# Energy of formation from the pure elements   26 meV/atom
data_In9SnHg2
_cell_length_a 4.877
_cell_length_b 4.877
_cell_length_c 13.542
_cell_angle_alpha 90.00
_cell_angle_beta 90.00
_cell_angle_gamma 90.00
_space_group_name_H-M_alt 'P 4/m m m'
_space_group_IT_number 123
_space_group_name_Hall '-P 4 2'
loop_
_atom_site_label
_atom_site_type_symbol
_atom_site_fract_x
_atom_site_fract_y
_atom_site_fract_z
In1 In 0.000 0.000 0.000
In2 In 0.000 0.000 0.334
In3 In 0.000 0.500 0.169
In4 In 0.000 0.500 0.500
Sn1 Sn 0.500 0.500 0.000
Hg1 Hg 0.500 0.500 0.334

---

Record 4
# CaOsBr3 PBE optimized geometry
# Formation energy without anion corrections   -0.080 eV/atom
# Polymorph energy (0 for the lowest one)   0 meV per atom
data_CaOsBr3
_cell_length_a 5.099
_cell_length_b 5.099
_cell_length_c 5.099
_cell_angle_alpha 90.00
_cell_angle_beta 90.00
_cell_angle_gamma 90.00
_space_group_name_H-M_alt 'P m -3 m'
_space_group_IT_number 221
_space_group_name_Hall '-P 4 2 3'
loop_
_atom_site_label
_atom_site_type_symbol
_atom_site_fract_x
_atom_site_fract_y
_atom_site_fract_z
Ca1 Ca 0.000 0.000 0.000
Os1 Os 0.500 0.500 0.500
Br1 Br 0.000 0.500 0.500

---

Question: Number 2 is which compound?
Answer: Sr2SnBiTe5